5
Lattice="-1.4825 4.0471 0.7875 -3.1753 -0.5869 -2.9614 -3.2219 -1.9268 3.8365" Properties=species:S:1:pos:R:3 comment="BaMoIO2 GGA+U relaxed" total_magnetization_mub_per_fu=2.92 mass_density_g_cm3=6.3 total_energy_ev_per_cell=-25.614 de_polymorph_ev_per_atom=0.000 crystal_system=tetragonal pbc="T T T"
O -0.7412 2.0235 0.3938
O -1.5876 -0.2934 -1.4807
I -1.6110 -0.9634 1.9182
Mo 0.0000 0.0000 0.0000
Ba -3.9398 0.7667 0.8313